## i
{
  "formula": "In3AgAu6",
  "functional": "PBE",
  "state": "relaxed",
  "lattice_angstrom": [[4.755, 0.000, 0.000], [0.000, 7.575, -3.977], [0.000, -1.041, 12.084]],
  "species": ["In", "In", "In", "In", "In", "In", "Au", "Au", "Au", "Au", "Au", "Au", "Au", "Au", "Au", "Au", "Au", "Au", "Ag", "Ag"],
  "frac_coords": [[0.750, 0.190, 0.032], [0.250, 0.810, 0.968], [0.750, 0.473, 0.611], [0.750, 0.643, 0.167], [0.250, 0.357, 0.833], [0.250, 0.527, 0.389], [0.250, 0.672, 0.679], [0.750, 0.328, 0.321], [0.250, 0.427, 0.100], [0.750, 0.893, 0.727], [0.250, 0.810, 0.322], [0.750, 0.190, 0.678], [0.250, 0.251, 0.552], [0.250, 0.107, 0.273], [0.250, 0.059, 0.879], [0.750, 0.573, 0.900], [0.750, 0.749, 0.448], [0.750, 0.941, 0.121], [0.250, 0.950, 0.600], [0.750, 0.050, 0.400]],
  "volume_a3_per_atom": 20.78,
  "spacegroup": "P2_1/m, No. 11"
}



## ii
{
  "formula": "In3AgAu6",
  "functional": "PBE",
  "state": "relaxed",
  "lattice_angstrom": [[-0.367, 2.716, 4.643], [-4.920, -6.701, 3.530], [8.817, -1.305, 1.461]],
  "species": ["Au", "Au", "Au", "Au", "Au", "Au", "Au", "Au", "Au", "Au", "Au", "Au", "In", "In", "In", "In", "In", "In", "Ag", "Ag"],
  "frac_coords": [[0.572, 0.605, 0.684], [0.876, 0.467, 0.048], [0.677, 0.290, 0.710], [0.376, 0.048, 0.467], [0.762, 0.017, 0.983], [0.177, 0.710, 0.290], [0.072, 0.684, 0.605], [0.876, 0.952, 0.533], [0.262, 0.983, 0.017], [0.072, 0.395, 0.316], [0.572, 0.316, 0.395], [0.376, 0.533, 0.952], [0.956, 0.705, 0.917], [0.456, 0.295, 0.083], [0.456, 0.917, 0.705], [0.656, 0.630, 0.370], [0.156, 0.370, 0.630], [0.956, 0.083, 0.295], [0.082, 0.172, 0.828], [0.582, 0.828, 0.172]],
  "volume_a3_per_atom": 20.50,
  "spacegroup": "Cmc2_1, No. 36"
}



Most stable one: i, least stable one: ii.



## i
{
  "formula": "In2Ag2Au7",
  "functional": "PBE",
  "state": "relaxed",
  "lattice_angstrom": [[-0.310, 3.140, 2.287], [-2.728, -2.907, 7.007], [5.385, -1.273, 5.863]],
  "species": ["Au", "Au", "Au", "Au", "Au", "Au", "Au", "In", "In", "Ag", "Ag"],
  "frac_coords": [[0.336, 0.665, 0.665], [0.837, 0.913, 0.414], [0.664, 0.335, 0.335], [0.837, 0.414, 0.913], [0.163, 0.586, 0.087], [0.000, 0.000, 0.000], [0.163, 0.087, 0.586], [0.500, 0.279, 0.721], [0.500, 0.721, 0.279], [0.669, 0.831, 0.831], [0.331, 0.169, 0.169]],
  "volume_a3_per_atom": 19.54,
  "spacegroup": "C2/m, No. 12"
}



## ii
{
  "formula": "In2Ag2Au7",
  "functional": "PBE",
  "state": "relaxed",
  "lattice_angstrom": [[-3.520, 3.551, -1.844], [-6.112, -0.653, 3.180], [0.951, 6.206, 2.910]],
  "species": ["Ag", "Ag", "In", "In", "Au", "Au", "Au", "Au", "Au", "Au", "Au"],
  "frac_coords": [[0.000, 0.157, 0.843], [0.000, 0.843, 0.157], [0.647, 0.627, 0.627], [0.353, 0.373, 0.373], [0.670, 0.582, 0.070], [0.059, 0.720, 0.720], [0.330, 0.930, 0.418], [0.500, 0.000, 0.000], [0.941, 0.280, 0.280], [0.330, 0.418, 0.930], [0.670, 0.070, 0.582]],
  "volume_a3_per_atom": 19.90,
  "spacegroup": "C2/m, No. 12"
}



Most stable one: i, least stable one: ii.



## i
{
  "formula": "InAgAu3",
  "functional": "PBE",
  "state": "relaxed",
  "lattice_angstrom": [[-3.751, -1.993, 2.410], [-2.035, -1.704, -4.577], [4.745, -5.380, 2.935]],
  "species": ["Au", "Au", "Au", "Au", "Au", "Au", "Ag", "Ag", "In", "In"],
  "frac_coords": [[0.750, 0.941, 0.212], [0.250, 0.458, 0.592], [0.250, 0.652, 0.988], [0.750, 0.542, 0.408], [0.750, 0.348, 0.012], [0.250, 0.059, 0.788], [0.750, 0.766, 0.816], [0.250, 0.234, 0.184], [0.750, 0.177, 0.619], [0.250, 0.823, 0.381]],
  "volume_a3_per_atom": 18.84,
  "spacegroup": "P2_1/m, No. 11"
}



## ii
{
  "formula": "InAgAu3",
  "functional": "PBE",
  "state": "relaxed",
  "lattice_angstrom": [[5.160, 0.000, 0.000], [0.000, 5.160, 0.000], [0.000, 0.000, 5.160]],
  "species": ["Au", "Au", "Au", "Ag", "In"],
  "frac_coords": [[0.000, 0.500, 0.000], [0.500, 0.000, 0.000], [0.000, 0.000, 0.500], [0.000, 0.000, 0.000], [0.500, 0.500, 0.500]],
  "volume_a3_per_atom": 27.47,
  "spacegroup": "Pm-3m, No. 221"
}



Most stable one: i, least stable one: ii.



## i
{
  "formula": "In5Ag2Au12",
  "functional": "PBE",
  "state": "relaxed",
  "lattice_angstrom": [[-6.893, 3.282, -0.760], [-4.557, -5.813, 0.034], [-2.668, -0.258, 6.883]],
  "species": ["Ag", "Ag", "In", "In", "In", "In", "In", "Au", "Au", "Au", "Au", "Au", "Au", "Au", "Au", "Au", "Au", "Au", "Au"],
  "frac_coords": [[0.000, 0.270, 0.730], [0.000, 0.730, 0.270], [0.419, 0.690, 0.690], [0.905, 0.692, 0.692], [0.581, 0.310, 0.310], [0.095, 0.308, 0.308], [0.500, 0.000, 0.000], [0.250, 0.353, 0.917], [0.639, 0.363, 0.911], [0.743, 0.496, 0.496], [0.639, 0.911, 0.363], [0.075, 0.872, 0.872], [0.257, 0.504, 0.504], [0.361, 0.637, 0.089], [0.750, 0.647, 0.083], [0.750, 0.083, 0.647], [0.250, 0.917, 0.353], [0.925, 0.128, 0.128], [0.361, 0.089, 0.637]],
  "volume_a3_per_atom": 20.49,
  "spacegroup": "C2/m, No. 12"
}



## ii
{
  "formula": "In5Ag2Au12",
  "functional": "PBE",
  "state": "relaxed",
  "lattice_angstrom": [[7.379, 0.000, 0.000], [-3.690, 7.645, -0.007], [0.000, -2.673, 7.432]],
  "species": ["Au", "Au", "Au", "Au", "Au", "Au", "Au", "Au", "Au", "Au", "Au", "Au", "In", "In", "In", "In", "In", "Ag", "Ag"],
  "frac_coords": [[0.001, 0.603, 0.896], [0.999, 0.397, 0.104], [0.812, 0.241, 0.531], [0.560, 0.119, 0.195], [0.117, 0.234, 0.306], [0.571, 0.759, 0.469], [0.429, 0.241, 0.531], [0.188, 0.759, 0.469], [0.602, 0.603, 0.896], [0.440, 0.881, 0.805], [0.883, 0.766, 0.694], [0.398, 0.397, 0.104], [0.630, 0.260, 0.853], [0.000, 0.000, 0.500], [0.246, 0.492, 0.656], [0.370, 0.740, 0.147], [0.754, 0.508, 0.344], [0.185, 0.000, 0.000], [0.815, 0.000, 0.000]],
  "volume_a3_per_atom": 22.06,
  "spacegroup": "C2/m, No. 12"
}



Most stable one: i, least stable one: ii.



## i
{
  "formula": "InAg4Au",
  "functional": "PBE",
  "state": "relaxed",
  "lattice_angstrom": [[0.000, 3.915, 3.915], [3.915, 0.000, 3.915], [3.915, 3.915, 0.000]],
  "species": ["In", "Ag", "Ag", "Ag", "Ag", "Au"],
  "frac_coords": [[0.000, 0.000, 0.000], [0.375, 0.375, 0.875], [0.875, 0.375, 0.375], [0.375, 0.875, 0.375], [0.375, 0.375, 0.375], [0.750, 0.750, 0.750]],
  "volume_a3_per_atom": 20.00,
  "spacegroup": "F-43m, No. 216"
}



## ii
{
  "formula": "InAg4Au",
  "functional": "PBE",
  "state": "relaxed",
  "lattice_angstrom": [[-1.698, -4.748, -1.138], [2.881, -3.114, 0.613], [-3.033, -1.892, 4.628]],
  "species": ["Ag", "Ag", "Ag", "Ag", "In", "Au"],
  "frac_coords": [[0.665, 0.667, 0.830], [0.335, 0.333, 0.170], [0.334, 0.333, 0.664], [0.666, 0.667, 0.336], [0.000, 0.000, 0.000], [0.000, 0.000, 0.500]],
  "volume_a3_per_atom": 18.60,
  "spacegroup": "C2/m, No. 12"
}



Most stable one: ii, least stable one: i.



## i
{
  "formula": "In2Ag12Au5",
  "functional": "PBE",
  "state": "relaxed",
  "lattice_angstrom": [[-1.739, -7.326, 3.548], [6.755, 1.548, -3.257], [3.308, 2.046, 5.846]],
  "species": ["Au", "Au", "Au", "Au", "Au", "Ag", "Ag", "Ag", "Ag", "Ag", "Ag", "Ag", "Ag", "Ag", "Ag", "Ag", "Ag", "In", "In"],
  "frac_coords": [[0.224, 0.448, 0.479], [0.647, 0.294, 0.890], [0.000, 0.000, 0.500], [0.353, 0.706, 0.110], [0.776, 0.552, 0.521], [0.872, 0.743, 0.867], [0.177, 0.790, 0.430], [0.072, 0.513, 0.813], [0.559, 0.487, 0.187], [0.387, 0.210, 0.570], [0.823, 0.210, 0.570], [0.613, 0.790, 0.430], [0.128, 0.257, 0.133], [0.441, 0.513, 0.813], [0.446, 0.892, 0.716], [0.554, 0.108, 0.284], [0.928, 0.487, 0.187], [0.761, 0.000, 0.000], [0.239, 0.000, 0.000]],
  "volume_a3_per_atom": 19.57,
  "spacegroup": "C2/m, No. 12"
}



## ii
{
  "formula": "In2Ag12Au5",
  "functional": "PBE",
  "state": "relaxed",
  "lattice_angstrom": [[4.021, 0.072, 1.008], [0.172, 9.089, 7.171], [-0.753, 2.132, 11.356]],
  "species": ["Ag", "Ag", "Ag", "Ag", "Ag", "Ag", "Ag", "Ag", "Ag", "Ag", "Ag", "Ag", "Au", "Au", "Au", "Au", "Au", "In", "In"],
  "frac_coords": [[0.101, 0.899, 0.899], [0.799, 0.450, 0.952], [0.899, 0.602, 0.602], [0.201, 0.550, 0.048], [0.799, 0.952, 0.450], [0.899, 0.101, 0.101], [0.399, 0.353, 0.848], [0.601, 0.152, 0.647], [0.201, 0.048, 0.550], [0.101, 0.398, 0.398], [0.601, 0.647, 0.152], [0.399, 0.848, 0.353], [0.300, 0.200, 0.200], [0.301, 0.700, 0.700], [0.500, 0.000, 0.000], [0.699, 0.300, 0.300], [0.700, 0.800, 0.800], [0.000, 0.269, 0.731], [0.000, 0.731, 0.269]],
  "volume_a3_per_atom": 18.96,
  "spacegroup": "Immm, No. 71"
}



Most stable one: ii, least stable one: i.



## i
{
  "formula": "In2Ag3Au2",
  "functional": "PBE",
  "state": "relaxed",
  "lattice_angstrom": [[4.151, 0.000, 0.000], [-2.075, 4.838, -0.202], [0.000, -0.499, 6.766]],
  "species": ["In", "In", "Au", "Au", "Ag", "Ag", "Ag"],
  "frac_coords": [[0.864, 0.728, 0.591], [0.136, 0.272, 0.409], [0.420, 0.840, 0.284], [0.580, 0.160, 0.716], [0.289, 0.578, 0.867], [0.711, 0.422, 0.133], [0.000, 0.000, 0.000]],
  "volume_a3_per_atom": 19.35,
  "spacegroup": "C2/m, No. 12"
}



## ii
{
  "formula": "In2Ag3Au2",
  "functional": "PBE",
  "state": "relaxed",
  "lattice_angstrom": [[-6.077, -3.097, 2.528], [2.069, -3.355, -6.113], [5.268, -0.574, 4.983]],
  "species": ["Ag", "Ag", "Ag", "Ag", "Ag", "Ag", "Au", "Au", "Au", "Au", "In", "In", "In", "In"],
  "frac_coords": [[0.504, 0.254, 0.750], [0.250, 0.004, 0.254], [0.996, 0.246, 0.250], [0.754, 0.750, 0.004], [0.750, 0.496, 0.246], [0.746, 0.250, 0.496], [0.500, 0.861, 0.500], [0.361, 0.500, 0.000], [0.000, 0.000, 0.861], [0.139, 0.639, 0.639], [0.504, 0.004, 0.004], [0.500, 0.496, 0.500], [0.000, 0.000, 0.496], [0.996, 0.500, 0.000]],
  "volume_a3_per_atom": 21.16,
  "spacegroup": "I2_13, No. 199"
}



Most stable one: i, least stable one: ii.



## i
{
  "formula": "In2Ag7Au3",
  "functional": "PBE",
  "state": "relaxed",
  "lattice_angstrom": [[3.969, -0.003, -0.529], [0.067, 4.094, 0.531], [-0.053, 2.322, 15.371]],
  "species": ["Ag", "Ag", "Ag", "Ag", "Ag", "Ag", "Ag", "In", "In", "Au", "Au", "Au"],
  "frac_coords": [[0.713, 0.574, 0.427], [0.073, 0.355, 0.144], [0.287, 0.426, 0.573], [0.927, 0.645, 0.856], [0.425, 0.147, 0.852], [0.000, 0.000, 0.000], [0.575, 0.853, 0.148], [0.643, 0.216, 0.287], [0.357, 0.784, 0.713], [0.212, 0.076, 0.424], [0.500, 0.500, 0.000], [0.788, 0.924, 0.576]],
  "volume_a3_per_atom": 20.39,
  "spacegroup": "P-1, No. 2"
}



## ii
{
  "formula": "In2Ag7Au3",
  "functional": "PBE",
  "state": "relaxed",
  "lattice_angstrom": [[-2.297, 1.637, 0.966], [-2.925, -2.379, -2.925], [-1.962, -10.244, 12.695]],
  "species": ["In", "In", "Ag", "Ag", "Ag", "Ag", "Ag", "Ag", "Ag", "Au", "Au", "Au"],
  "frac_coords": [[0.500, 0.294, 0.708], [0.500, 0.706, 0.292], [0.500, 0.822, 0.825], [0.000, 0.330, 0.858], [0.500, 0.737, 0.459], [0.500, 0.263, 0.541], [0.000, 0.000, 0.000], [0.000, 0.670, 0.142], [0.500, 0.178, 0.175], [0.000, 0.219, 0.380], [0.500, 0.500, 0.000], [0.000, 0.781, 0.620]],
  "volume_a3_per_atom": 19.40,
  "spacegroup": "P2/m, No. 10"
}



Most stable one: i, least stable one: ii.



## i
{
  "formula": "In2Ag5Au5",
  "functional": "PBE",
  "state": "relaxed",
  "lattice_angstrom": [[4.262, 0.000, 0.000], [-2.131, 6.131, -0.371], [0.000, -3.543, 8.756]],
  "species": ["Ag", "Ag", "Ag", "Ag", "Ag", "Au", "Au", "Au", "Au", "Au", "In", "In"],
  "frac_coords": [[0.500, 0.000, 0.500], [0.336, 0.673, 0.000], [0.664, 0.327, 0.000], [0.412, 0.825, 0.748], [0.588, 0.175, 0.252], [0.165, 0.330, 0.494], [0.000, 0.000, 0.000], [0.835, 0.670, 0.506], [0.748, 0.496, 0.753], [0.252, 0.504, 0.247], [0.915, 0.831, 0.250], [0.085, 0.169, 0.750]],
  "volume_a3_per_atom": 18.60,
  "spacegroup": "C2/m, No. 12"
}



## ii
{
  "formula": "In2Ag5Au5",
  "functional": "PBE",
  "state": "relaxed",
  "lattice_angstrom": [[3.993, 0.000, 0.853], [1.758, 6.345, 1.543], [0.175, 0.485, 8.950]],
  "species": ["Au", "Au", "Au", "Au", "Au", "In", "In", "Ag", "Ag", "Ag", "Ag", "Ag"],
  "frac_coords": [[0.500, 0.500, 0.500], [0.668, 0.672, 0.993], [0.583, 0.085, 0.750], [0.417, 0.915, 0.250], [0.332, 0.328, 0.007], [0.085, 0.585, 0.246], [0.915, 0.415, 0.754], [0.831, 0.837, 0.501], [0.752, 0.242, 0.254], [0.248, 0.758, 0.746], [0.169, 0.163, 0.499], [0.000, 0.000, 0.000]],
  "volume_a3_per_atom": 18.63,
  "spacegroup": "C2/m, No. 12"
}



Most stable one: ii, least stable one: i.